! KMnCd | Alexandria via LeMat-Bulk | PBE-GGA | relaxed; values from VASP
&SYSTEM
  ibrav = 0, nat = 3, ntyp = 3
/
ATOMIC_SPECIES
K 39.10 K.upf
Mn 54.94 Mn.upf
Cd 112.41 Cd.upf
CELL_PARAMETERS angstrom
5.005 0.000 0.000
-2.502 4.334 0.000
0.000 0.000 4.319
ATOMIC_POSITIONS crystal
K 0.000 0.000 0.000
Mn 0.667 0.333 0.500
Cd 0.333 0.667 0.500
! - Energy relative to the lowest polymorph listed for this composition: 14.31 kJ/mol of atoms
! - DOS at the Fermi energy: 1.112 states/eV/atom
! - E: -3.127 eV per atom
! - ΔE_f: 0.601 eV/atom

! KMnCd | Alexandria via LeMat-Bulk | PBE-GGA | relaxed; values from VASP
&SYSTEM
  ibrav = 0, nat = 3, ntyp = 3
/
ATOMIC_SPECIES
K 39.10 K.upf
Mn 54.94 Mn.upf
Cd 112.41 Cd.upf
CELL_PARAMETERS angstrom
0.000 3.896 3.896
3.896 0.000 3.896
3.896 3.896 0.000
ATOMIC_POSITIONS crystal
K 0.000 0.000 0.000
Mn 0.750 0.750 0.750
Cd 0.250 0.250 0.250
! - Energy relative to the lowest polymorph listed for this composition: 57.37 kJ/mol of atoms
! - DOS at the Fermi energy: 1.192 states/eV/atom
! - E: -2.680 eV per atom
! - ΔE_f: 1.047 eV/atom

! K3MnCd | Alexandria via LeMat-Bulk | PBE-GGA | relaxed; values from VASP
&SYSTEM
  ibrav = 0, nat = 5, ntyp = 3
/
ATOMIC_SPECIES
K 39.10 K.upf
Mn 54.94 Mn.upf
Cd 112.41 Cd.upf
CELL_PARAMETERS angstrom
6.609 0.000 0.000
0.000 6.609 0.000
0.000 0.000 6.609
ATOMIC_POSITIONS crystal
K 0.000 0.000 0.500
K 0.000 0.500 0.000
K 0.500 0.000 0.000
Mn 0.500 0.500 0.500
Cd 0.000 0.000 0.000
! - Energy relative to the lowest polymorph listed for this composition: 0.00 kJ/mol of atoms
! - DOS at the Fermi energy: 1.276 states/eV/atom
! - E: -1.987 eV per atom
! - ΔE_f: 0.688 eV/atom

! KMn2Cd | Alexandria via LeMat-Bulk | PBE-GGA | relaxed; values from VASP
&SYSTEM
  ibrav = 0, nat = 4, ntyp = 3
/
ATOMIC_SPECIES
K 39.10 K.upf
Mn 54.94 Mn.upf
Cd 112.41 Cd.upf
CELL_PARAMETERS angstrom
3.130 0.000 0.000
0.000 5.350 0.000
0.000 0.000 5.411
ATOMIC_POSITIONS crystal
K 0.000 0.000 0.000
Mn 0.000 0.500 0.500
Mn 0.500 0.500 0.000
Cd 0.500 0.000 0.500
! - DOS at the Fermi energy: 0.838 states/eV/atom
! - E: -4.206 eV per atom
! - ΔE_f: 0.881 eV/atom